Density functional theory data (PBE+U) for a relaxed Na3Ni2O4 crystal.

Unit cell a=11.156 b=3.276 c=8.398 alpha=90.00 beta=127.88 gamma=90.00
Space group C2/m (No. 12)
Unique sites:
Na: 0.000 0.000 0.000 x2
Na: 0.188 0.000 0.801 x4
Ni: 0.131 0.500 0.353 x4
O: 0.068 0.500 0.856 x4
O: 0.237 0.000 0.350 x4

Values from the calculation:
The uncorrected energy is -0.15788 hartree per atom. The energy relative to the lowest polymorph listed for this composition comes out at 26 meV per atom.